[1]
A relaxed SrBeRe crystal. Source: Alexandria via LeMat-Bulk, functional PBEsol.

Results
V in Å³/atom: 18.5
D(E_F) in states/eV per atom: 0.695
Energy relative to the elements in meV/atom: 580

Cell lengths 3.2070, 3.2070, 10.7782 Å; angles 90.00, 90.00, 90.00 degrees
Fractional positions:
Sr (0.0000, 0.0000, 0.0000)
Sr (0.5000, 0.5000, 0.5000)
Be (0.0000, 0.0000, 0.2620)
Be (0.5000, 0.5000, 0.7620)
Re (0.0000, 0.0000, 0.7184)
Re (0.5000, 0.5000, 0.2184)


[2]
A relaxed CeSiPt2 crystal. Source: Alexandria via LeMat-Bulk, functional PBEsol.

Results
V in Å³/atom: 17.6
D(E_F) in states/eV per atom: 0.852
ΔE_f (raw) in eV/atom: -1.038

Cell lengths 4.0405, 10.1525, 6.8620 Å; angles 90.00, 90.00, 90.00 degrees
Fractional positions:
Ce (0.0000, 0.0607, 0.2500)
Ce (0.0000, 0.9393, 0.7500)
Ce (0.5000, 0.4393, 0.7500)
Ce (0.5000, 0.5607, 0.2500)
Si (0.0000, 0.2233, 0.7500)
Si (0.0000, 0.7767, 0.2500)
Si (0.5000, 0.2767, 0.2500)
Si (0.5000, 0.7233, 0.7500)
Pt (0.0000, 0.3576, 0.0493)
Pt (0.0000, 0.3576, 0.4507)
Pt (0.0000, 0.6424, 0.5493)
Pt (0.0000, 0.6424, 0.9507)
Pt (0.5000, 0.1424, 0.5493)
Pt (0.5000, 0.1424, 0.9507)
Pt (0.5000, 0.8576, 0.0493)
Pt (0.5000, 0.8576, 0.4507)


[3]
A relaxed YMg2InNi crystal. Source: Alexandria via LeMat-Bulk, functional PBEsol.

Results
V in Å³/atom: 23.0
D(E_F) in states/eV per atom: 0.613
Energy relative to the elements in meV/atom: -120

Cell lengths 4.8419, 4.8419, 4.9022 Å; angles 90.00, 90.00, 90.00 degrees
Fractional positions:
Y (0.0000, 0.0000, 0.0000)
Mg (0.0000, 0.5000, 0.5000)
Mg (0.5000, 0.0000, 0.5000)
In (0.5000, 0.5000, 0.0000)
Ni (0.0000, 0.0000, 0.5000)